Model A:
# RbBaN2F

RbBaN2F after structural relaxation (PBE, the Alexandria database).

Results
Density of states at the Fermi level   1.47 states/eV per cell
Volume   29.55 Å³/atom

Cell: 5.398 5.398 5.070 Å, 90.00 90.00 90.00°
Space group P4/mmm (No. 123)
Asymmetric unit:
Rb: 0.000 0.000 0.000 x1
Ba: 0.500 0.500 0.500 x1
N: 0.000 0.500 0.500 x2
F: 0.500 0.500 0.000 x1

Model B:
# RbBaN2F

RbBaN2F after structural relaxation (PBE, the Alexandria database).

Results
Density of states at the Fermi level   2.76 states/eV per cell
Volume   20.94 Å³/atom

Cell: 4.553 4.553 5.049 Å, 90.00 90.00 90.00°
Space group P4/mmm (No. 123)
Asymmetric unit:
Rb: 0.000 0.000 0.000 x1
Ba: 0.500 0.500 0.500 x1
N: 0.000 0.500 0.000 x2
F: 0.000 0.000 0.500 x1

Which one sits at the top of the stability order? model A does.

Model A:
# RbBaNF2

RbBaNF2 after structural relaxation (PBE, the Alexandria database).

Results
Density of states at the Fermi level   3.98 states/eV per cell
Volume   22.50 Å³/atom

Cell: 4.922 4.922 4.643 Å, 90.00 90.00 90.00°
Space group P4/mmm (No. 123)
Asymmetric unit:
Rb: 0.000 0.000 0.000 x1
Ba: 0.500 0.500 0.500 x1
N: 0.000 0.000 0.500 x1
F: 0.000 0.500 0.000 x2

Model B:
# RbBaNF2

RbBaNF2 after structural relaxation (PBE, the Alexandria database).

Results
Density of states at the Fermi level   3.53 states/eV per cell
Volume   28.30 Å³/atom

Cell: 5.105 5.105 5.429 Å, 90.00 90.00 90.00°
Space group P4/mmm (No. 123)
Asymmetric unit:
Rb: 0.000 0.000 0.000 x1
Ba: 0.500 0.500 0.500 x1
N: 0.500 0.500 0.000 x1
F: 0.000 0.500 0.500 x2

Which one sits at the top of the stability order? model B does.

Model A:
# BaReNF2

BaReNF2 after structural relaxation (PBE, the Alexandria database).

Results
Density of states at the Fermi level   2.56 states/eV per cell
Volume   15.85 Å³/atom

Cell: 4.505 4.505 3.904 Å, 90.00 90.00 90.00°
Space group P4/mmm (No. 123)
Asymmetric unit:
Ba: 0.000 0.000 0.000 x1
Re: 0.500 0.500 0.500 x1
N: 0.500 0.500 0.000 x1
F: 0.000 0.500 0.500 x2

Model B:
# BaReNF2

BaReNF2 after structural relaxation (PBE, the Alexandria database).

Results
Density of states at the Fermi level   1.83 states/eV per cell
Volume   26.13 Å³/atom

Cell: 4.880 4.880 5.488 Å, 90.00 90.00 90.00°
Space group P4/mmm (No. 123)
Asymmetric unit:
Ba: 0.000 0.000 0.000 x1
Re: 0.500 0.500 0.500 x1
N: 0.000 0.000 0.500 x1
F: 0.000 0.500 0.000 x2

Which one sits at the top of the stability order? model A does.

Model A:
# BaSbNF2

BaSbNF2 after structural relaxation (PBE, the Alexandria database).

Results
Density of states at the Fermi level   0.36 states/eV per cell
Volume   19.16 Å³/atom

Cell: 4.694 4.694 4.347 Å, 90.00 90.00 90.00°
Space group P4/mmm (No. 123)
Asymmetric unit:
Ba: 0.000 0.000 0.000 x1
Sb: 0.500 0.500 0.500 x1
N: 0.500 0.500 0.000 x1
F: 0.000 0.500 0.500 x2

Model B:
# BaSbNF2

BaSbNF2 after structural relaxation (PBE, the Alexandria database).

Results
Density of states at the Fermi level   1.24 states/eV per cell
Volume   28.03 Å³/atom

Cell: 4.865 4.865 5.922 Å, 90.00 90.00 90.00°
Space group P4/mmm (No. 123)
Asymmetric unit:
Ba: 0.000 0.000 0.000 x1
Sb: 0.500 0.500 0.500 x1
N: 0.000 0.000 0.500 x1
F: 0.000 0.500 0.000 x2

Which one sits at the top of the stability order? model A does.

Model A:
# BaScN2F

BaScN2F after structural relaxation (PBE, the Alexandria database).

Results
Density of states at the Fermi level   0.79 states/eV per cell
Volume   20.07 Å³/atom

Cell: 4.650 4.650 4.642 Å, 90.00 90.00 90.00°
Space group P4/mmm (No. 123)
Asymmetric unit:
Ba: 0.000 0.000 0.000 x1
Sc: 0.500 0.500 0.500 x1
N: 0.000 0.500 0.000 x2
F: 0.000 0.000 0.500 x1

Model B:
# BaScN2F

BaScN2F after structural relaxation (PBE, the Alexandria database).

Results
Density of states at the Fermi level   2.18 states/eV per cell
Volume   15.84 Å³/atom

Cell: 4.219 4.219 4.448 Å, 90.00 90.00 90.00°
Space group P4/mmm (No. 123)
Asymmetric unit:
Ba: 0.000 0.000 0.000 x1
Sc: 0.500 0.500 0.500 x1
N: 0.000 0.500 0.500 x2
F: 0.500 0.500 0.000 x1

Which one sits at the top of the stability order? model B does.

Model A:
# BaSiN2F

BaSiN2F after structural relaxation (PBE, the Alexandria database).

Results
Density of states at the Fermi level   1.42 states/eV per cell
Volume   21.61 Å³/atom

Cell: 4.741 4.741 4.806 Å, 90.00 90.00 90.00°
Space group P4/mmm (No. 123)
Asymmetric unit:
Ba: 0.000 0.000 0.000 x1
Si: 0.500 0.500 0.500 x1
N: 0.000 0.500 0.000 x2
F: 0.000 0.000 0.500 x1

Model B:
# BaSiN2F

BaSiN2F after structural relaxation (PBE, the Alexandria database).

Results
Density of states at the Fermi level   0.48 states/eV per cell
Volume   12.85 Å³/atom

Cell: 3.670 3.670 4.772 Å, 90.00 90.00 90.00°
Space group P4/mmm (No. 123)
Asymmetric unit:
Ba: 0.000 0.000 0.000 x1
Si: 0.500 0.500 0.500 x1
N: 0.000 0.500 0.500 x2
F: 0.500 0.500 0.000 x1

Which one sits at the top of the stability order? model B does.